[1]
VASP calculation (PBE-GGA) on a relaxed Dy2Y2CI3Cl2 crystal.

Cell: 17.9821 3.8911 8.5509 Å, 90.00 102.66 90.00°
Closest atoms and distances in Å follow each position.
Space group C2/m (No. 12)
Asymmetric unit:
Dy  0.0011  0.0000  0.3100 (multiplicity 4)  2 C 2.54
Y  0.1360  0.5000  0.5596 (multiplicity 4)  1 C 2.39
C  0.0000  0.5000  0.5000 (multiplicity 2)  2 Y 2.39, 4 Dy 2.54
I  0.0000  0.5000  0.0000 (multiplicity 2)  4 Dy 3.28
I  0.1724  0.0000  0.8379 (multiplicity 4)  2 Y 3.03, 1 Dy 3.10
Cl  0.1625  0.0000  0.3492 (multiplicity 4)  2 Y 2.76, 1 Dy 2.85

Results
Polymorph energy (0 for the lowest one) (eV/atom): 0.0175

=====

[2]
VASP calculation (PBE-GGA) on a relaxed Dy2Y2CICl4 crystal.

Cell: 17.0775 3.8141 8.4840 Å, 90.00 103.79 90.00°
Closest atoms and distances in Å follow each position.
Space group C2/m (No. 12)
Asymmetric unit:
Dy  0.0012  0.0000  0.3089 (multiplicity 4)  2 C 2.51, 1 Cl 2.75
Y  0.1437  0.5000  0.5751 (multiplicity 4)  1 C 2.38
C  0.0000  0.5000  0.5000 (multiplicity 2)  2 Y 2.38, 4 Dy 2.51
I  0.0000  0.5000  0.0000 (multiplicity 2)  4 Dy 3.24
Cl  0.1637  0.0000  0.8089 (multiplicity 4)  2 Y 2.71, 1 Dy 2.75
Cl  0.1709  0.0000  0.3577 (multiplicity 4)  3 Y 2.77-3.08, 1 Dy 2.83

Results
Raw total energy (eV per cell): -112.24

=====

[3]
VASP calculation (PBE-GGA) on a relaxed Dy2Y2CI3Cl2 crystal.

Cell: 18.2645 3.8933 8.4468 Å, 90.00 100.01 90.00°
Closest atoms and distances in Å follow each position.
Space group C2/m (No. 12)
Asymmetric unit:
Dy  0.0020  0.0000  0.3089 (multiplicity 4)  2 C 2.53, 1 Cl 2.75
Y  0.1340  0.5000  0.5639 (multiplicity 4)  1 C 2.41
C  0.0000  0.5000  0.5000 (multiplicity 2)  2 Y 2.41, 4 Dy 2.53
I  0.0000  0.5000  0.0000 (multiplicity 2)  4 Dy 3.25
I  0.1747  0.0000  0.3079 (multiplicity 4)  2 Y 3.10, 1 Dy 3.16
Cl  0.1492  0.0000  0.7955 (multiplicity 4)  2 Y 2.74, 1 Dy 2.75

Results
Polymorph energy (0 for the lowest one) (eV/atom): 0.0000

=====

[4]
VASP calculation (PBE-GGA) on a relaxed Dy2Y2CI3Cl2 crystal.

Cell: 17.9629 3.9003 8.5741 Å, 90.00 102.82 90.00°
Closest atoms and distances in Å follow each position.
Space group C2/m (No. 12)
Asymmetric unit:
Dy  0.1360  0.0000  0.0594 (multiplicity 4)  1 C 2.38
Y  0.0009  0.5000  0.8096 (multiplicity 4)  2 C 2.55
C  0.0000  0.0000  0.0000 (multiplicity 2)  2 Dy 2.38, 4 Y 2.55
I  0.0000  0.0000  0.5000 (multiplicity 2)  4 Y 3.29
I  0.1736  0.5000  0.3369 (multiplicity 4)  2 Dy 3.03, 1 Y 3.11
Cl  0.1628  0.5000  0.8511 (multiplicity 4)  2 Dy 2.76, 1 Y 2.85

Results
Polymorph energy (0 for the lowest one) (eV/atom): 0.0176

=====

[5]
VASP calculation (PBE-GGA) on a relaxed Dy2Y2CI2Cl3 crystal.

Cell: 18.3043 3.8175 7.8963 Å, 90.00 100.12 90.00°
Closest atoms and distances in Å follow each position.
Space group C2/m (No. 12)
Asymmetric unit:
Dy  0.1331  0.0000  0.0690 (multiplicity 4)  1 C 2.40
Y  0.0024  0.5000  0.7919 (multiplicity 4)  2 C 2.52, 1 Cl 2.75
C  0.0000  0.0000  0.0000 (multiplicity 2)  2 Dy 2.40, 4 Y 2.52
I  0.1755  0.5000  0.7973 (multiplicity 4)  2 Dy 3.07, 1 Y 3.16
Cl  0.0000  0.0000  0.5000 (multiplicity 2)  4 Y 2.99
Cl  0.1486  0.5000  0.3189 (multiplicity 4)  2 Dy 2.72, 1 Y 2.75

Results
Polymorph energy (0 for the lowest one) (eV/atom): 0.0008

=====

[6]
VASP calculation (PBE-GGA) on a relaxed Nd2Dy2CCl5 crystal.

Cell: 17.2982 3.8319 8.1409 Å, 90.00 103.48 90.00°
Closest atoms and distances in Å follow each position.
Space group C2/m (No. 12)
Asymmetric unit:
Nd  0.0013  0.0000  0.2859 (multiplicity 4)  2 C 2.59, 1 Cl 2.86
Dy  0.1424  0.5000  0.5768 (multiplicity 4)  1 C 2.40
C  0.0000  0.5000  0.5000 (multiplicity 2)  2 Dy 2.40, 4 Nd 2.59
Cl  0.0000  0.5000  0.0000 (multiplicity 2)  4 Nd 3.01
Cl  0.1686  0.0000  0.8195 (multiplicity 4)  2 Dy 2.71, 1 Nd 2.86
Cl  0.1745  0.0000  0.3569 (multiplicity 4)  3 Dy 2.76-3.09, 1 Nd 2.92

Results
Raw total energy (eV per cell): -108.31

=====

[7]
VASP calculation (PBE-GGA) on a relaxed Nd2Dy2CCl5 crystal.

Cell: 17.4186 3.7512 7.8516 Å, 90.00 105.03 90.00°
Closest atoms and distances in Å follow each position.
Space group C2/m (No. 12)
Asymmetric unit:
Nd  0.1491  0.0000  0.0895 (multiplicity 4)  1 C 2.51
Dy  0.0007  0.5000  0.7892 (multiplicity 4)  2 C 2.50, 1 Cl 2.73
C  0.0000  0.0000  0.0000 (multiplicity 2)  4 Dy 2.50, 2 Nd 2.51
Cl  0.0000  0.0000  0.5000 (multiplicity 2)  4 Dy 2.94
Cl  0.1591  0.5000  0.3617 (multiplicity 4)  1 Dy 2.73, 2 Nd 2.81
Cl  0.1651  0.5000  0.8243 (multiplicity 4)  1 Dy 2.81, 3 Nd 2.87-3.13

Results
Raw total energy (eV per cell): -108.27

=====

[8]
VASP calculation (PBE-GGA) on a relaxed NdDyC2Cl2 crystal.

Cell: 7.0700 3.8162 10.6991 Å, 90.00 98.79 90.00°
Closest atoms and distances in Å follow each position.
Space group Cm (No. 8)
Asymmetric unit:
Nd  0.0000  0.0000  0.0000 (multiplicity 2)  3 C 2.42-2.69
Dy  0.3126  0.5000  0.2861 (multiplicity 2)  1 C 2.33
C  0.3229  0.0000  0.1156 (multiplicity 2)  1 C 1.33
C  0.4952  0.0000  0.1865 (multiplicity 2)  1 C 1.33
Cl  0.1185  0.5000  0.8319 (multiplicity 2)  3 Nd 2.84-3.00
Cl  0.1987  0.0000  0.4438 (multiplicity 2)  3 Dy 2.75-2.98

Results
Raw total energy (eV per cell): -77.70

=====

[9]
VASP calculation (PBE-GGA) on a relaxed SmDyC2Cl2 crystal.

Cell: 7.0292 3.7860 10.6471 Å, 90.00 98.71 90.00°
Closest atoms and distances in Å follow each position.
Space group Cm (No. 8)
Asymmetric unit:
Sm  0.0000  0.0000  0.0000 (multiplicity 2)  3 C 2.38-2.65
Dy  0.3113  0.5000  0.2844 (multiplicity 2)  1 C 2.32
C  0.3205  0.0000  0.1118 (multiplicity 2)  1 C 1.34
C  0.4946  0.0000  0.1825 (multiplicity 2)  1 C 1.34
Cl  0.1171  0.5000  0.8339 (multiplicity 2)  3 Sm 2.80-2.99
Cl  0.1972  0.0000  0.4442 (multiplicity 2)  3 Dy 2.75-2.98

Results
Raw total energy (eV per cell): -77.75

=====

[10]
VASP calculation (PBE-GGA) on a relaxed Sm2Dy2CCl5 crystal.

Cell: 17.2549 3.7387 7.8172 Å, 90.00 104.42 90.00°
Closest atoms and distances in Å follow each position.
Space group C2/m (No. 12)
Asymmetric unit:
Sm  0.1476  0.0000  0.0857 (multiplicity 4)  1 C 2.47
Dy  0.0008  0.5000  0.7894 (multiplicity 4)  2 C 2.49, 1 Cl 2.74
C  0.0000  0.0000  0.0000 (multiplicity 2)  2 Sm 2.47, 4 Dy 2.49
Cl  0.0000  0.0000  0.5000 (multiplicity 2)  4 Dy 2.93
Cl  0.1610  0.5000  0.3534 (multiplicity 4)  1 Dy 2.74, 2 Sm 2.77
Cl  0.1672  0.5000  0.8282 (multiplicity 4)  1 Dy 2.81, 3 Sm 2.83-3.10

Results
Raw total energy (eV per cell): -108.20

=====

[11]
VASP calculation (PBE-GGA) on a relaxed Sm2Dy2CCl5 crystal.

Cell: 17.1885 3.7903 7.9921 Å, 90.00 103.65 90.00°
Closest atoms and distances in Å follow each position.
Space group C2/m (No. 12)
Asymmetric unit:
Sm  0.0018  0.0000  0.2873 (multiplicity 4)  2 C 2.55, 1 Cl 2.82
Dy  0.1433  0.5000  0.5805 (multiplicity 4)  1 C 2.40
C  0.0000  0.5000  0.5000 (multiplicity 2)  2 Dy 2.40, 4 Sm 2.55
Cl  0.0000  0.5000  0.0000 (multiplicity 2)  4 Sm 2.97
Cl  0.1666  0.0000  0.8291 (multiplicity 4)  2 Dy 2.71, 1 Sm 2.82
Cl  0.1737  0.0000  0.3530 (multiplicity 4)  3 Dy 2.76-3.06, 1 Sm 2.88

Results
Raw total energy (eV per cell): -108.23

=====

[12]
VASP calculation (PBE-GGA) on a relaxed TbDyC2Cl2 crystal.

Cell: 6.9427 3.7419 10.6942 Å, 90.00 95.42 90.00°
Closest atoms and distances in Å follow each position.
Space group Cm (No. 8)
Asymmetric unit:
Tb  0.0000  0.0000  0.0000 (multiplicity 2)  3 C 2.34-2.59
Dy  0.2916  0.0000  0.2781 (multiplicity 2)  3 C 2.32-2.58
C  0.0727  0.5000  0.1764 (multiplicity 2)  1 C 1.33
C  0.2189  0.5000  0.1039 (multiplicity 2)  1 C 1.33
Cl  0.3240  0.0000  0.8392 (multiplicity 2)  3 Tb 2.75-2.96
Cl  0.4661  0.5000  0.4375 (multiplicity 2)  3 Dy 2.74-2.96

Results
Raw total energy (eV per cell): -77.76

=====

[13]
VASP calculation (PBE-GGA) on a relaxed Dy2Tm2CCl5 crystal.

Cell: 16.8623 3.7023 7.7731 Å, 90.00 102.70 90.00°
Closest atoms and distances in Å follow each position.
Space group C2/m (No. 12)
Asymmetric unit:
Dy  0.0019  0.0000  0.2900 (multiplicity 4)  2 C 2.47, 1 Cl 2.75
Tm  0.1424  0.5000  0.5763 (multiplicity 4)  1 C 2.34
C  0.0000  0.5000  0.5000 (multiplicity 2)  2 Tm 2.34, 4 Dy 2.47
Cl  0.0000  0.5000  0.0000 (multiplicity 2)  4 Dy 2.91
Cl  0.1645  0.0000  0.8288 (multiplicity 4)  2 Tm 2.66, 1 Dy 2.75
Cl  0.1736  0.0000  0.3441 (multiplicity 4)  3 Tm 2.72-3.03, 1 Dy 2.83

Results
Raw total energy (eV per cell): -106.95

=====

[14]
VASP calculation (PBE-GGA) on a relaxed DyYC2Cl2 crystal.

Cell: 6.9328 3.7358 10.6853 Å, 90.00 95.38 90.00°
Closest atoms and distances in Å follow each position.
Space group Cm (No. 8)
Asymmetric unit:
Dy  0.0000  0.0000  0.0000 (multiplicity 2)  3 C 2.32-2.58
Y  0.2082  0.5000  0.7221 (multiplicity 2)  3 C 2.32-2.59
C  0.2810  0.0000  0.8982 (multiplicity 2)  1 C 1.34
C  0.4276  0.0000  0.8249 (multiplicity 2)  1 C 1.34
Cl  0.0326  0.0000  0.5617 (multiplicity 2)  3 Y 2.74-2.95
Cl  0.1746  0.5000  0.1596 (multiplicity 2)  3 Dy 2.73-2.95

Results
Raw total energy (eV per cell): -81.40

=====

[15]
VASP calculation (PBE-GGA) on a relaxed DyZrCCl2 crystal.

Cell: 3.5370 3.5370 9.5997 Å, 90.00 90.00 120.00°
Closest atoms and distances in Å follow each position.
Space group P3m1 (No. 156)
Asymmetric unit:
Dy  0.0000  0.0000  0.0000 (multiplicity 1)  3 C 2.50, 3 Cl 2.74
Zr  0.6667  0.3333  0.2704 (multiplicity 1)  3 C 2.34
C  0.3333  0.6667  0.1507 (multiplicity 1)  3 Zr 2.34, 3 Dy 2.50
Cl  0.0000  0.0000  0.4530 (multiplicity 1)  3 Zr 2.69
Cl  0.6667  0.3333  0.8105 (multiplicity 1)  3 Dy 2.74

Results
Raw total energy (eV per cell): -33.46

=====

[16]
VASP calculation (PBE-GGA) on a relaxed GdErC2Cl2 crystal.

Cell: 6.9256 3.7293 10.6833 Å, 90.00 95.48 90.00°
Closest atoms and distances in Å follow each position.
Space group Cm (No. 8)
Asymmetric unit:
Gd  0.0000  0.0000  0.0000 (multiplicity 2)  3 C 2.35-2.60
Er  0.2917  0.0000  0.2779 (multiplicity 2)  3 C 2.30-2.57
C  0.0727  0.5000  0.1794 (multiplicity 2)  1 C 1.33
C  0.2192  0.5000  0.1068 (multiplicity 2)  1 C 1.33
Cl  0.3223  0.0000  0.8372 (multiplicity 2)  3 Gd 2.76-2.96
Cl  0.4642  0.5000  0.4356 (multiplicity 2)  3 Er 2.71-2.95

Results
Raw total energy (eV per cell): -77.68

=====

[17]
VASP calculation (PBE-GGA) on a relaxed Gd2Er2CCl5 crystal.

Cell: 17.0049 3.7392 7.8642 Å, 90.00 103.42 90.00°
Closest atoms and distances in Å follow each position.
Space group C2/m (No. 12)
Asymmetric unit:
Gd  0.0024  0.0000  0.2886 (multiplicity 4)  2 C 2.51, 1 Cl 2.79
Er  0.1425  0.5000  0.5817 (multiplicity 4)  1 C 2.36
C  0.0000  0.5000  0.5000 (multiplicity 2)  2 Er 2.36, 4 Gd 2.51
Cl  0.0000  0.5000  0.0000 (multiplicity 2)  4 Gd 2.93
Cl  0.1651  0.0000  0.8332 (multiplicity 4)  2 Er 2.68, 1 Gd 2.79
Cl  0.1737  0.0000  0.3521 (multiplicity 4)  3 Er 2.74-3.05, 1 Gd 2.84

Results
Raw total energy (eV per cell): -107.74

=====

[18]
VASP calculation (PBE-GGA) on a relaxed Ho2Er2CCl5 crystal.

Cell: 16.8764 3.6909 7.7237 Å, 90.00 103.44 90.00°
Closest atoms and distances in Å follow each position.
Space group C2/m (No. 12)
Asymmetric unit:
Ho  0.0012  0.0000  0.2900 (multiplicity 4)  2 C 2.46, 1 Cl 2.74
Er  0.1438  0.5000  0.5794 (multiplicity 4)  1 C 2.36
C  0.0000  0.5000  0.5000 (multiplicity 2)  2 Er 2.36, 4 Ho 2.46
Cl  0.0000  0.5000  0.0000 (multiplicity 2)  4 Ho 2.90
Cl  0.1645  0.0000  0.8376 (multiplicity 4)  2 Er 2.68, 1 Ho 2.74
Cl  0.1716  0.0000  0.3396 (multiplicity 4)  3 Er 2.73-3.03, 1 Ho 2.81

Results
Raw total energy (eV per cell): -107.24

=====

[19]
VASP calculation (PBE-GGA) on a relaxed Ho2Er2CICl4 crystal.

Cell: 16.8608 3.7735 8.4045 Å, 90.00 104.06 90.00°
Closest atoms and distances in Å follow each position.
Space group C2/m (No. 12)
Asymmetric unit:
Ho  0.1445  0.0000  0.0741 (multiplicity 4)  1 C 2.36
Er  0.9996  0.5000  0.1905 (multiplicity 4)  2 C 2.48, 1 Cl 2.73
C  0.0000  0.0000  0.0000 (multiplicity 2)  2 Ho 2.36, 4 Er 2.48
I  0.0000  0.0000  0.5000 (multiplicity 2)  4 Er 3.21
Cl  0.1657  0.5000  0.3094 (multiplicity 4)  2 Ho 2.69, 1 Er 2.73
Cl  0.1705  0.5000  0.8547 (multiplicity 4)  3 Ho 2.75-3.03, 1 Er 2.80

Results
Raw total energy (eV per cell): -104.16

=====

[20]
VASP calculation (PBE-GGA) on a relaxed Ho2Er2CI3Cl2 crystal.

Cell: 18.1774 3.8635 8.3768 Å, 90.00 99.99 90.00°
Closest atoms and distances in Å follow each position.
Space group C2/m (No. 12)
Asymmetric unit:
Ho  0.0022  0.0000  0.3090 (multiplicity 4)  2 C 2.51, 1 Cl 2.75
Er  0.1323  0.5000  0.5640 (multiplicity 4)  1 C 2.37
C  0.0000  0.5000  0.5000 (multiplicity 2)  2 Er 2.37, 4 Ho 2.51
I  0.0000  0.5000  0.0000 (multiplicity 2)  4 Ho 3.22
I  0.1750  0.0000  0.3117 (multiplicity 4)  2 Er 3.06, 1 Ho 3.14
Cl  0.1498  0.0000  0.7941 (multiplicity 4)  2 Er 2.71, 1 Ho 2.75

Results
Raw total energy (eV per cell): -98.09